The following is a DFT calculation (SCAN) of a crystal of KBeTl2 relaxed with PBEsol.

## Properties
Final energy, eV per atom: -39.0760
SG: Pmm2, No. 25
Mass density, g cm⁻³: 6.9
E above lowest polymorph, eV per atom: 0.000
N(E_F), states/eV per cell: 2.3
V, Å³ per atom: 27.359

abc: 3.545 3.823 8.077
angles: 90.00 90.00 90.00
Sites, in units of the cell vectors:
K (0.500, 0.500, 0.740)
Be (0.000, 0.000, 0.382)
Tl (0.500, 0.500, 0.325)
Tl (0.000, 0.000, 0.053)